{
  "formula": "PrMn4O8",
  "functional": "PBE+U",
  "state": "optimized geometry",
  "lattice": [[6.024, -0.337, -1.591], [-3.653, 4.962, -0.983], [-0.309, 0.117, 6.460]],
  "species": ["Pr", "Mn", "Mn", "Mn", "Mn", "O", "O", "O", "O", "O", "O", "O", "O"],
  "fractional_positions": [[0.000, 0.500, 0.500], [0.248, 0.248, 0.000], [0.752, 0.752, 0.000], [0.262, 0.768, 0.030], [0.738, 0.232, 0.970], [0.684, 0.039, 0.197], [0.158, 0.513, 0.197], [0.676, 0.489, 0.165], [0.174, 0.997, 0.171], [0.826, 0.003, 0.829], [0.324, 0.511, 0.835], [0.842, 0.487, 0.803], [0.316, 0.961, 0.803]],
  "spacegroup": "C2/m (12)",
  "e_tot_ev_per_atom": -7.539
}